Model 1:
14
Lattice="-4.601 -1.462 5.248 1.424 -8.560 3.708 3.551 1.993 8.513" Properties=species:S:1:pos:R:3 comment="AcLa4Pr2 PBE relaxed" vol_a3_per_atom=38.73 pbc="T T T"
Pr -2.300 -0.731 2.624
Pr 1.756 -7.772 9.063
Pr 0.187 -4.015 8.735
Pr -1.381 -0.257 8.407
Ac -1.588 -5.011 4.478
Ac 0.712 -4.280 1.854
La -0.697 -1.732 11.343
La -1.538 -7.127 9.103
La -3.265 -2.148 6.228
La 1.072 -6.297 6.126
La 1.161 -2.550 5.152
La 3.640 -5.882 11.241
La 1.913 -0.903 8.366
La -0.787 -5.479 12.317



Model 2:
7
Lattice="3.662 0.000 -0.612 -0.257 5.856 -1.538 0.213 0.163 12.529" Properties=species:S:1:pos:R:3 comment="AcLa4Pr2 PBE relaxed" vol_a3_per_atom=38.62 pbc="T T T"
La 1.257 5.165 7.516
La 3.406 2.543 9.115
La 0.211 3.476 1.263
La 2.361 0.854 2.862
Ac 0.000 0.000 0.000
Pr 1.051 1.696 6.282
Pr 2.567 4.323 4.097



Looking at the structures above, which would you pick as the most stable? I would pick model 2.